TlHg2S2, relaxed, DFT PBE; E_tot = -2.11 eV per atom; symmetry = P4/mbm (127); ΔE_f (raw) = 139 meV per atom; density of states at the Fermi level = 3.83 states/eV per cell
1.0
8.025 0.000 0.000
0.000 8.025 0.000
0.000 0.000 3.712
Tl Hg S
2 4 4
Direct
0.000 0.000 0.000
0.500 0.500 0.000
0.139 0.361 0.500
0.361 0.861 0.500
0.639 0.139 0.500
0.861 0.639 0.500
0.169 0.669 0.000
0.331 0.169 0.000
0.669 0.831 0.000
0.831 0.331 0.000

Ba2Ga2Ag, relaxed, DFT PBE; E_tot = -2.71 eV per atom; symmetry = I4/mmm (139); density of states at the Fermi level = 4.08 states/eV per cell; energy relative to the elements = -0.16 eV/atom
1.0
-3.299 3.299 3.897
3.299 -3.299 3.897
3.299 3.299 -3.897
Ba Ga Ag
2 2 1
Direct
0.250 0.750 0.500
0.750 0.250 0.500
0.154 0.154 0.000
0.846 0.846 0.000
0.500 0.500 0.000

Zn3SiW, relaxed, DFT PBE; E_tot = -3.10 eV per atom; symmetry = Pm-3m (221); ΔE_f (raw) = 1344 meV per atom; density of states at the Fermi level = 5.01 states/eV per cell
1.0
4.554 0.000 0.000
0.000 4.554 0.000
0.000 0.000 4.554
Zn Si W
3 1 1
Direct
0.000 0.000 0.500
0.000 0.500 0.000
0.500 0.000 0.000
0.000 0.000 0.000
0.500 0.500 0.500

Ba2Mg3Sn4Hg, relaxed, DFT PBE; E_tot = -2.95 eV per atom; symmetry = P-4m2 (115); density of states at the Fermi level = 0.68 states/eV per cell; energy relative to the elements = -0.45 eV/atom
1.0
4.910 0.000 0.000
0.000 4.910 0.000
0.000 0.000 12.280
Ba Mg Sn Hg
2 3 4 1
Direct
0.000 0.500 0.248
0.500 0.000 0.752
0.000 0.000 0.000
0.000 0.500 0.633
0.500 0.000 0.367
0.000 0.000 0.500
0.000 0.500 0.863
0.500 0.000 0.137
0.500 0.500 0.500
0.500 0.500 0.000

NpTiTlS4, relaxed, DFT PBE; E_tot = -6.74 eV per atom; symmetry = Imma (74); ΔE_f (raw) = -1071 meV per atom; density of states at the Fermi level = 18.44 states/eV per cell
1.0
-3.663 4.496 5.224
3.663 -4.496 5.224
3.663 4.496 -5.224
Np Ti Tl S
2 2 2 8
Direct
0.000 0.000 0.000
0.500 0.000 0.500
0.500 0.000 0.000
0.500 0.500 0.500
0.068 0.318 0.750
0.932 0.682 0.250
0.263 0.238 0.475
0.263 0.788 0.025
0.312 0.745 0.567
0.322 0.255 0.067
0.678 0.745 0.933
0.688 0.255 0.433
0.737 0.212 0.975
0.737 0.762 0.525

FePCSe, relaxed, DFT PBE; E_tot = -6.29 eV per atom; symmetry = Cm (8); ΔE_f (raw) = 358 meV per atom; density of states at the Fermi level = 2.45 states/eV per cell
1.0
1.866 -1.868 0.000
1.866 1.868 0.000
-1.745 0.000 8.337
Fe P C Se
1 1 1 1
Direct
0.000 0.000 0.000
0.361 0.361 0.702
0.462 0.462 0.919
0.131 0.131 0.282